1.
Here is an optimized crystal structure of LaPr2ErIn2 from Alexandria via LeMat-Bulk. Energies are from PBE.

Results
Calculated total energy, eV per cell: -53.15
Total magnetization, μB per atom: 0.00
DFT formation energy, kJ/mol of formula units: -198

a b c (Å): 5.333 6.903 10.209
angles (deg): 90.00 90.00 90.00
Positions (direct):
1 Pr 0.000 0.826 0.820
2 Pr 0.000 0.326 0.180
3 Pr 0.500 0.047 0.045
4 Pr 0.500 0.547 0.955
5 Er 0.500 0.189 0.686
6 Er 0.500 0.689 0.314
7 In 0.500 0.225 0.366
8 In 0.000 0.795 0.147
9 In 0.500 0.725 0.634
10 In 0.000 0.295 0.853
11 La 0.000 0.964 0.460
12 La 0.000 0.464 0.540

=====

2.
Here is an optimized crystal structure of Rb2MgAg2 from Alexandria via LeMat-Bulk. Energies are from PBE.

Results
Calculated total energy, eV per cell: -17.22
Total magnetization, μB per atom: 0.00
DFT formation energy, kJ/mol of formula units: 60

a b c (Å): 7.814 7.814 5.662
angles (deg): 90.00 90.00 90.00
Positions (direct):
1 Ag 0.631 0.131 0.000
2 Ag 0.131 0.369 0.000
3 Ag 0.869 0.631 0.000
4 Ag 0.369 0.869 0.000
5 Rb 0.674 0.826 0.500
6 Rb 0.826 0.326 0.500
7 Rb 0.174 0.674 0.500
8 Rb 0.326 0.174 0.500
9 Mg 0.000 0.000 0.000
10 Mg 0.500 0.500 0.000

=====

3.
Here is an optimized crystal structure of CeThSn2 from Alexandria via LeMat-Bulk. Energies are from PBE.

Results
Calculated total energy, eV per cell: -23.63
Total magnetization, μB per atom: 0.21
DFT formation energy, kJ/mol of formula units: -219

a b c (Å): 4.548 4.513 6.305
angles (deg): 90.00 111.13 90.00
Positions (direct):
1 Sn 0.175 0.500 0.890
2 Sn 0.990 0.000 0.520
3 Ce 0.448 0.500 0.435
4 Th 0.717 0.000 0.974

=====

calculated total energy of number 2 (Rb2MgAg2)?
-17.22 eV per cell